## A
The following is a DFT calculation (PBE) of a geometry-optimized HfBi3Br structure.

Cell: 5.5426 5.5426 5.5426 Å, 90.00 90.00 90.00°
Last column: nearest neighbours and their distance in Å.
Fractional coordinates of all 5 atoms:
Hf (0.5000, 0.5000, 0.5000)  12 Bi 3.92
Bi (0.0000, 0.5000, 0.0000)  2 Br 2.77
Bi (0.0000, 0.0000, 0.5000)  2 Br 2.77
Bi (0.5000, 0.0000, 0.0000)  2 Br 2.77
Br (0.0000, 0.0000, 0.0000)  6 Bi 2.77

SG: No. 221
Crystal system: cubic
Total magnetic moment in μB/f.u.: 0.00

## B
The following is a DFT calculation (PBE) of a geometry-optimized HfBi3Br structure.

Cell: 5.6237 5.6237 5.6237 Å, 90.00 90.00 90.00°
Last column: nearest neighbours and their distance in Å.
Fractional coordinates of all 5 atoms:
Hf (0.0000, 0.0000, 0.0000)  6 Bi 2.81
Bi (0.0000, 0.5000, 0.0000)  2 Hf 2.81
Bi (0.0000, 0.0000, 0.5000)  2 Hf 2.81
Bi (0.5000, 0.0000, 0.0000)  2 Hf 2.81
Br (0.5000, 0.5000, 0.5000)  12 Bi 3.98

SG: No. 221
Crystal system: cubic
Total magnetic moment in μB/f.u.: 0.00

Most stable structure, least stable structure: B, A.

## A
The following is a DFT calculation (PBE) of a geometry-optimized HfBiSeBr2 structure.

Cell: 5.6400 5.6400 5.6709 Å, 90.00 90.00 90.00°
Last column: nearest neighbours and their distance in Å.
Fractional coordinates of all 5 atoms:
Se (0.0000, 0.0000, 0.5000)  2 Bi 2.84
Hf (0.5000, 0.5000, 0.5000)  4 Se 3.99, 8 Br 4.00
Bi (0.0000, 0.0000, 0.0000)  4 Br 2.82, 2 Se 2.84
Br (0.0000, 0.5000, 0.0000)  2 Bi 2.82
Br (0.5000, 0.0000, 0.0000)  2 Bi 2.82

SG: No. 123
Crystal system: tetragonal
Total magnetic moment in μB/f.u.: 1.87

## B
The following is a DFT calculation (PBE) of a geometry-optimized HfBiSeBr2 structure.

Cell: 5.3147 5.3147 5.2756 Å, 90.00 90.00 90.00°
Last column: nearest neighbours and their distance in Å.
Fractional coordinates of all 5 atoms:
Se (0.0000, 0.0000, 0.5000)  2 Hf 2.64
Hf (0.0000, 0.0000, 0.0000)  2 Se 2.64, 4 Br 2.66
Bi (0.5000, 0.5000, 0.5000)  8 Br 3.74, 4 Se 3.76
Br (0.0000, 0.5000, 0.0000)  2 Hf 2.66
Br (0.5000, 0.0000, 0.0000)  2 Hf 2.66

SG: No. 123
Crystal system: tetragonal
Total magnetic moment in μB/f.u.: 2.47

Most stable structure, least stable structure: B, A.

## A
The following is a DFT calculation (PBE) of a geometry-optimized BiIBr structure.

Cell: 4.2743 5.1509 8.0468 Å, 73.70 89.95 65.53°
Last column: nearest neighbours and their distance in Å.
Fractional coordinates of all 3 atoms:
Bi (0.9211, 0.5657, 0.1399)  2 Br 2.92-2.93, 2 I 3.08-3.09
I (0.5170, 0.3734, 0.9193)  2 Bi 3.08-3.09
Br (0.3279, 0.7521, 0.3321)  2 Bi 2.92-2.93

SG: No. 1
Crystal system: triclinic
Total magnetic moment in μB/f.u.: 0.00

## B
The following is a DFT calculation (PBE) of a geometry-optimized BiIBr structure.

Cell: 6.0664 11.5743 16.1766 Å, 144.16 90.00 90.00°
Last column: nearest neighbours and their distance in Å.
Fractional coordinates of all 12 atoms:
I (0.2500, 0.2566, 0.6224)  2 Bi 3.15
I (0.2500, 0.7411, 0.1633)  2 Bi 3.13
I (0.7500, 0.7434, 0.3776)  2 Bi 3.15
I (0.7500, 0.2589, 0.8367)  2 Bi 3.13
Bi (0.2500, 0.1457, 0.7792)  1 Br 2.61
Bi (0.2500, 0.7733, 0.4457)  1 Br 2.61
Bi (0.7500, 0.8543, 0.2208)  1 Br 2.61
Bi (0.7500, 0.2267, 0.5543)  1 Br 2.61
Br (0.2500, 0.4941, 0.3948)  1 Bi 2.61
Br (0.2500, 0.9698, 0.8210)  1 Bi 2.61
Br (0.7500, 0.5059, 0.6052)  1 Bi 2.61
Br (0.7500, 0.0302, 0.1790)  1 Bi 2.61

SG: No. 11
Crystal system: monoclinic
Total magnetic moment in μB/f.u.: 0.00

Most stable structure, least stable structure: B, A.

## A
The following is a DFT calculation (PBE) of a geometry-optimized Bi2IBr structure.

Cell: 8.8609 8.8609 7.1869 Å, 51.94 51.94 90.00°
Last column: nearest neighbours and their distance in Å.
Fractional coordinates of all 8 atoms:
I (0.0000, 0.0000, 0.0000)  4 Bi 3.30, 2 Br 3.52
I (0.7500, 0.2500, 0.5000)  4 Bi 3.30, 2 Br 3.52
Bi (0.6179, 0.1250, 0.2500)  2 Br 3.21, 2 I 3.30, 2 Bi 3.52
Bi (0.1321, 0.6250, 0.2500)  2 Br 3.21, 2 I 3.30, 2 Bi 3.52
Bi (0.3750, 0.3821, 0.7500)  2 Br 3.21, 2 I 3.30, 2 Bi 3.52
Bi (0.8750, 0.8679, 0.7500)  2 Br 3.21, 2 I 3.30, 2 Bi 3.52
Br (0.5000, 0.5000, 0.0000)  4 Bi 3.21, 2 I 3.52
Br (0.2500, 0.7500, 0.5000)  4 Bi 3.21, 2 I 3.52

SG: No. 122
Crystal system: tetragonal
Total magnetic moment in μB/f.u.: 0.00

## B
The following is a DFT calculation (PBE) of a geometry-optimized Bi2IBr structure.

Cell: 8.0647 8.0647 31.5048 Å, 84.97 84.97 31.27°
Last column: nearest neighbours and their distance in Å.
Fractional coordinates of all 24 atoms:
I (0.7429, 0.7429, 0.8767)  2 Bi 3.13
I (0.2571, 0.2571, 0.1233)  2 Bi 3.13
I (0.2934, 0.2934, 0.7386)  2 Bi 3.12
I (0.7066, 0.7066, 0.2614)  2 Bi 3.12
I (0.0056, 0.0056, 0.9260)  2 Bi 3.13
I (0.9944, 0.9944, 0.0740)  2 Bi 3.13
Bi (0.6356, 0.6356, 0.6587)  3 Bi 3.05-3.09
Bi (0.3644, 0.3644, 0.3413)  3 Bi 3.05-3.09
Bi (0.6504, 0.6504, 0.7559)  2 Br 2.96, 1 Bi 3.09, 2 I 3.12
Bi (0.3496, 0.3496, 0.2441)  2 Br 2.96, 1 Bi 3.09, 2 I 3.12
Bi (0.3180, 0.3180, 0.0028)  3 Bi 3.05-3.09
Bi (0.6820, 0.6820, 0.9972)  3 Bi 3.05-3.09
Bi (0.9743, 0.9743, 0.5709)  4 Br 2.95-2.96, 1 Bi 3.08
Bi (0.0257, 0.0257, 0.4291)  4 Br 2.95-2.96, 1 Bi 3.08
Bi (0.9977, 0.9977, 0.6669)  3 Bi 3.05-3.08
Bi (0.0023, 0.0023, 0.3331)  3 Bi 3.05-3.08
Bi (0.3707, 0.3707, 0.9057)  1 Bi 3.09, 4 I 3.13
Bi (0.6293, 0.6293, 0.0943)  1 Bi 3.09, 4 I 3.13
Br (0.3494, 0.3494, 0.5926)  2 Bi 2.95
Br (0.6506, 0.6506, 0.4074)  2 Bi 2.95
Br (0.0263, 0.0263, 0.7804)  2 Bi 2.96
Br (0.9737, 0.9737, 0.2196)  2 Bi 2.96
Br (0.5974, 0.5974, 0.5454)  2 Bi 2.96
Br (0.4026, 0.4026, 0.4546)  2 Bi 2.96

SG: No. 12
Crystal system: monoclinic
Total magnetic moment in μB/f.u.: 0.00

## C
The following is a DFT calculation (PBE) of a geometry-optimized Bi2IBr structure.

Cell: 5.5986 5.5986 5.5986 Å, 60.00 60.00 60.00°
Last column: nearest neighbours and their distance in Å.
Fractional coordinates of all 4 atoms:
I (0.5000, 0.5000, 0.5000)  8 Bi 3.43
Bi (0.2500, 0.2500, 0.2500)  4 I 3.43, 4 Br 3.43
Bi (0.7500, 0.7500, 0.7500)  4 Br 3.43, 4 I 3.43
Br (0.0000, 0.0000, 0.0000)  8 Bi 3.43

SG: No. 225
Crystal system: cubic
Total magnetic moment in μB/f.u.: 0.00

Most stable structure, least stable structure: B, C.

## A
The following is a DFT calculation (PBE) of a geometry-optimized BiIBr3 structure.

Cell: 8.9904 8.9904 7.8457 Å, 95.13 116.40 122.27°
Last column: nearest neighbours and their distance in Å.
Fractional coordinates of all 10 atoms:
Bi (0.7400, 0.7267, 0.4667)  3 Br 2.62-2.82
Bi (0.2600, 0.2733, 0.5333)  3 Br 2.62-2.82
I (0.6532, 0.0360, 0.6893)  1 I 2.70
I (0.3468, 0.9640, 0.3107)  1 I 2.70
Br (0.8099, 0.9750, 0.2238)  2 Bi 2.82-3.06
Br (0.2488, 0.4139, 0.2238)  2 Bi 2.82-3.06
Br (0.7512, 0.5861, 0.7762)  2 Bi 2.82-3.06
Br (0.7714, 0.5023, 0.2737)  1 Bi 2.62
Br (0.1901, 0.0250, 0.7762)  2 Bi 2.82-3.06
Br (0.2286, 0.4977, 0.7263)  1 Bi 2.62

SG: No. 12
Crystal system: monoclinic
Total magnetic moment in μB/f.u.: 0.00

## B
The following is a DFT calculation (PBE) of a geometry-optimized BiIBr3 structure.

Cell: 5.7540 5.7540 5.7540 Å, 90.00 90.00 90.00°
Last column: nearest neighbours and their distance in Å.
Fractional coordinates of all 5 atoms:
I (0.5000, 0.5000, 0.5000)  12 Br 4.07
Bi (0.0000, 0.0000, 0.0000)  6 Br 2.88
Br (0.0000, 0.5000, 0.0000)  2 Bi 2.88
Br (0.0000, 0.0000, 0.5000)  2 Bi 2.88
Br (0.5000, 0.0000, 0.0000)  2 Bi 2.88

SG: No. 221
Crystal system: cubic
Total magnetic moment in μB/f.u.: 1.00

Most stable structure, least stable structure: A, B.

## A
The following is a DFT calculation (PBE) of a geometry-optimized BiI2BrN structure.

Cell: 6.5051 6.5051 3.7567 Å, 90.00 90.00 90.00°
Last column: nearest neighbours and their distance in Å.
Fractional coordinates of all 5 atoms:
I (0.0000, 0.5000, 0.0000)  2 Br 3.25
I (0.5000, 0.0000, 0.0000)  2 Br 3.25
Bi (0.5000, 0.5000, 0.5000)  8 I 3.76, 2 Bi 3.76
Br (0.0000, 0.0000, 0.0000)  2 N 1.88
N (0.0000, 0.0000, 0.5000)  2 Br 1.88

SG: No. 123
Crystal system: tetragonal
Total magnetic moment in μB/f.u.: 0.00

## B
The following is a DFT calculation (PBE) of a geometry-optimized BiI2BrN structure.

Cell: 6.2031 6.2031 4.7182 Å, 90.00 90.00 90.00°
Last column: nearest neighbours and their distance in Å.
Fractional coordinates of all 5 atoms:
I (0.0000, 0.5000, 0.0000)  2 Bi 3.10
I (0.5000, 0.0000, 0.0000)  2 Bi 3.10
Bi (0.0000, 0.0000, 0.0000)  2 N 2.36
Br (0.5000, 0.5000, 0.5000)  8 I 3.90
N (0.0000, 0.0000, 0.5000)  2 Bi 2.36

SG: No. 123
Crystal system: tetragonal
Total magnetic moment in μB/f.u.: 3.05

Most stable structure, least stable structure: B, A.

## A
The following is a DFT calculation (PBE) of a geometry-optimized BiIBrN2 structure.

Cell: 4.4989 4.4989 7.7262 Å, 90.00 90.00 90.00°
Last column: nearest neighbours and their distance in Å.
Fractional coordinates of all 5 atoms:
I (0.0000, 0.0000, 0.5000)  4 Bi 3.18
Bi (0.5000, 0.5000, 0.5000)  4 I 3.18
Br (0.0000, 0.0000, 0.0000)  4 N 2.25
N (0.0000, 0.5000, 0.0000)  2 Br 2.25
N (0.5000, 0.0000, 0.0000)  2 Br 2.25

SG: No. 123
Crystal system: tetragonal
Total magnetic moment in μB/f.u.: 4.59

## B
The following is a DFT calculation (PBE) of a geometry-optimized BiIBrN2 structure.

Cell: 4.4415 4.4415 7.4082 Å, 90.00 90.00 90.00°
Last column: nearest neighbours and their distance in Å.
Fractional coordinates of all 5 atoms:
I (0.0000, 0.0000, 0.5000)  4 Br 3.14
Bi (0.0000, 0.0000, 0.0000)  4 N 2.22
Br (0.5000, 0.5000, 0.5000)  4 I 3.14
N (0.0000, 0.5000, 0.0000)  2 Bi 2.22
N (0.5000, 0.0000, 0.0000)  2 Bi 2.22

SG: No. 123
Crystal system: tetragonal
Total magnetic moment in μB/f.u.: 2.28

Most stable structure, least stable structure: B, A.

## A
The following is a DFT calculation (PBE) of a geometry-optimized BiI2BrO structure.

Cell: 6.2985 6.2985 4.2713 Å, 90.00 90.00 90.00°
Last column: nearest neighbours and their distance in Å.
Fractional coordinates of all 5 atoms:
I (0.0000, 0.5000, 0.0000)  2 Bi 3.15
I (0.5000, 0.0000, 0.0000)  2 Bi 3.15
O (0.0000, 0.0000, 0.5000)  2 Bi 2.14
Bi (0.0000, 0.0000, 0.0000)  2 O 2.14
Br (0.5000, 0.5000, 0.5000)  8 I 3.81

SG: No. 123
Crystal system: tetragonal
Total magnetic moment in μB/f.u.: 1.50

## B
The following is a DFT calculation (PBE) of a geometry-optimized BiI2BrO structure.

Cell: 6.3442 6.3442 3.7998 Å, 90.00 90.00 90.00°
Last column: nearest neighbours and their distance in Å.
Fractional coordinates of all 5 atoms:
I (0.0000, 0.5000, 0.0000)  2 Br 3.17
I (0.5000, 0.0000, 0.0000)  2 Br 3.17
O (0.0000, 0.0000, 0.5000)  2 Br 1.90
Bi (0.5000, 0.5000, 0.5000)  8 I 3.70, 2 Bi 3.80
Br (0.0000, 0.0000, 0.0000)  2 O 1.90

SG: No. 123
Crystal system: tetragonal
Total magnetic moment in μB/f.u.: 0.00

Most stable structure, least stable structure: A, B.